No. 1
Here is Ca2HfPdC after structural relaxation from Alexandria. Energies are from PBE.

abc: 5.7770 5.7770 3.8491
angles: 90.00 90.00 90.00
Last column: nearest neighbours and their distance in Å.
Atoms (fractional coordinates):
1 Ca 0.0000 0.5000 0.0000  2 Pd 2.89
2 Ca 0.5000 0.0000 0.0000  2 Pd 2.89
3 Hf 0.0000 0.0000 0.5000  8 Ca 3.47, 2 Hf 3.85
4 Pd 0.5000 0.5000 0.0000  2 C 1.92
5 C 0.5000 0.5000 0.5000  2 Pd 1.92

Total moment   0.412 μB/atom
Calculated formation energy   0.8496 eV per atom
DFT total energy   -4.83 eV/atom
N(E_F)   2.839 states/eV/f.u.


No. 2
Here is BaLaY2 after structural relaxation from Alexandria. Energies are from PBE.

abc: 6.0149 6.0149 6.0149
angles: 60.00 60.00 60.00
Last column: nearest neighbours and their distance in Å.
Atoms (fractional coordinates):
1 Ba 0.0000 0.0000 0.0000  8 Y 3.68
2 La 0.5000 0.5000 0.5000  8 Y 3.68
3 Y 0.2500 0.2500 0.2500  4 Ba 3.68, 4 La 3.68
4 Y 0.7500 0.7500 0.7500  4 Ba 3.68, 4 La 3.68

E above lowest polymorph   104 meV/atom
Total moment   0.000 μB/atom
Calculated formation energy   0.2379 eV per atom
DFT total energy   -4.71 eV/atom
N(E_F)   6.948 states/eV/f.u.


No. 3
Here is HfReSb2Te after structural relaxation from Alexandria. Energies are from PBE.

abc: 5.0231 5.0231 5.6466
angles: 90.00 90.00 90.00
Last column: nearest neighbours and their distance in Å.
Atoms (fractional coordinates):
1 Hf 0.0000 0.0000 0.0000  4 Te 3.55, 8 Sb 3.78
2 Re 0.5000 0.5000 0.5000  4 Sb 2.51
3 Sb 0.0000 0.5000 0.5000  2 Re 2.51
4 Sb 0.5000 0.0000 0.5000  2 Re 2.51
5 Te 0.5000 0.5000 0.0000  2 Re 2.82

Formation energy (no corrections)   0.971 eV/atom
E above lowest polymorph   0 meV/atom
Total moment   0.000 μB/atom
DFT total energy   -5.79 eV/atom
N(E_F)   5.499 states/eV/f.u.


No. 4
Here is RbHg2AsRu after structural relaxation from Alexandria. Energies are from PBE.

abc: 5.4551 5.4551 4.6825
angles: 90.00 90.00 90.00
Last column: nearest neighbours and their distance in Å.
Atoms (fractional coordinates):
1 Rb 0.0000 0.0000 0.0000  8 Hg 3.59, 4 As 3.86
2 Hg 0.0000 0.5000 0.5000  2 Ru 2.73
3 Hg 0.5000 0.0000 0.5000  2 Ru 2.73
4 As 0.5000 0.5000 0.0000  2 Ru 2.34
5 Ru 0.5000 0.5000 0.5000  2 As 2.34

Total moment   0.000 μB/atom
Calculated formation energy   -0.1023 eV per atom
DFT total energy   -3.20 eV/atom
N(E_F)   1.814 states/eV/f.u.


No. 5
Here is RbNbTe2 after structural relaxation from Alexandria. Energies are from PBE.

abc: 3.8919 3.8919 9.1050
angles: 90.00 90.00 120.00
Last column: nearest neighbours and their distance in Å.
Atoms (fractional coordinates):
1 Rb 0.0000 0.0000 0.0000  6 Te 3.60, 6 Rb 3.89
2 Nb 0.0000 0.0000 0.5000  6 Te 2.84
3 Te 0.6667 0.3333 0.3085  3 Nb 2.84
4 Te 0.6667 0.3333 0.6915  3 Nb 2.84

Formation energy (no corrections)   -0.617 eV/atom
Total moment   0.000 μB/atom
DFT total energy   -4.95 eV/atom


No. 6
Here is LiRuW2 after structural relaxation from Alexandria. Energies are from PBE.

abc: 3.1880 3.1880 5.6827
angles: 90.00 90.00 90.00
Last column: nearest neighbours and their distance in Å.
Atoms (fractional coordinates):
1 Li 0.0000 0.0000 0.0000  4 Ru 2.57, 5 W 2.66-2.78
2 Ru 0.5000 0.5000 0.2154  4 Li 2.57, 5 W 2.63-2.74
3 W 0.0000 0.0000 0.4885  4 W 2.71, 4 Ru 2.74, 2 Li 2.78-2.91
4 W 0.5000 0.5000 0.7528  1 Ru 2.63, 4 Li 2.66, 4 W 2.71

Total moment   0.000 μB/atom
Calculated formation energy   0.3305 eV per atom
DFT total energy   -8.94 eV/atom
N(E_F)   4.768 states/eV/f.u.


No. 7
Here is Sc2PtC after structural relaxation from Alexandria. Energies are from PBE.

abc: 7.8277 7.8277 7.8277
angles: 23.84 23.84 23.84
Last column: nearest neighbours and their distance in Å.
Atoms (fractional coordinates):
1 Sc 0.1126 0.1126 0.1126  3 C 2.24
2 Sc 0.8874 0.8874 0.8874  3 C 2.24
3 Pt 0.0000 0.0000 0.0000  2 Sc 2.57
4 C 0.5000 0.5000 0.5000  6 Sc 2.24

Total moment   0.000 μB/atom
Calculated formation energy   -0.3777 eV per atom
DFT total energy   -7.36 eV/atom
N(E_F)   2.171 states/eV/f.u.


No. 8
Here is SnMoN3 after structural relaxation from Alexandria. Energies are from PBE.

abc: 4.0056 4.0056 4.0056
angles: 90.00 90.00 90.00
Last column: nearest neighbours and their distance in Å.
Atoms (fractional coordinates):
1 Sn 0.0000 0.0000 0.0000  12 N 2.83
2 Mo 0.5000 0.5000 0.5000  6 N 2.00
3 N 0.0000 0.5000 0.5000  2 Mo 2.00
4 N 0.5000 0.0000 0.5000  2 Mo 2.00
5 N 0.5000 0.5000 0.0000  2 Mo 2.00

Formation energy (no corrections)   0.511 eV/atom
Total moment   0.000 μB/atom
DFT total energy   -7.45 eV/atom
N(E_F)   2.977 states/eV/f.u.


No. 9
Here is La2TmNb after structural relaxation from Alexandria. Energies are from PBE.

abc: 12.0711 12.0711 12.0711
angles: 15.91 15.91 15.91
Last column: nearest neighbours and their distance in Å.
Atoms (fractional coordinates):
1 La 0.0810 0.0810 0.0810  1 Nb 2.90
2 La 0.9190 0.9190 0.9190  1 Nb 2.90
3 Tm 0.5000 0.5000 0.5000  6 Tm 3.34, 6 La 3.62
4 Nb 0.0000 0.0000 0.0000  2 La 2.90

Total moment   0.000 μB/atom
Calculated formation energy   0.5604 eV per atom
DFT total energy   -5.54 eV/atom
N(E_F)   6.324 states/eV/f.u.


No. 10
Here is Tm3Np2S8 after structural relaxation from Alexandria. Energies are from PBE.

abc: 8.1609 8.1609 4.5841
angles: 90.00 90.00 109.00
Last column: nearest neighbours and their distance in Å.
Atoms (fractional coordinates):
1 Tm 0.0000 0.0000 0.0000  8 S 2.79-2.80
2 Tm 0.2818 0.2818 0.5000  6 S 2.66-2.84
3 Tm 0.7182 0.7182 0.5000  6 S 2.66-2.84
4 Np 0.2617 0.7383 0.0000  8 S 2.73-2.97
5 Np 0.7383 0.2617 0.0000  8 S 2.73-2.97
6 S 0.1176 0.3632 0.0000  3 Tm 2.80-2.84, 2 Np 2.90-2.93
7 S 0.1198 0.8802 0.5000  4 Tm 2.79-3.11, 2 Np 2.97
8 S 0.3632 0.1176 0.0000  3 Tm 2.80-2.84, 2 Np 2.90-2.93
9 S 0.3739 0.6261 0.5000  2 Tm 2.66, 2 Np 2.73
10 S 0.6261 0.3739 0.5000  2 Tm 2.66, 2 Np 2.73
11 S 0.6368 0.8824 0.0000  3 Tm 2.80-2.84, 2 Np 2.90-2.93
12 S 0.8802 0.1198 0.5000  4 Tm 2.79-3.11, 2 Np 2.97
13 S 0.8824 0.6368 0.0000  3 Tm 2.80-2.84, 2 Np 2.90-2.93

Formation energy (no corrections)   -1.572 eV/atom
Total moment   0.540 μB/atom
DFT total energy   -7.13 eV/atom
N(E_F)   20.628 states/eV/f.u.